(1)
Material: TaZnGa4
Method: DFT, PBE
State: relaxed

Unit cell a=6.8291 b=6.8291 c=5.4526 alpha=101.68 beta=101.68 gamma=111.60
Fractional positions:
Ta 0.0065 0.9935 0.7500
Ta 0.9935 0.0065 0.2500
Zn 0.3870 0.6130 0.2500
Zn 0.6130 0.3870 0.7500
Ga 0.0810 0.6808 0.9294
Ga 0.2208 0.4013 0.6514
Ga 0.3192 0.9190 0.5706
Ga 0.4013 0.2208 0.1514
Ga 0.5987 0.7792 0.8486
Ga 0.6808 0.0810 0.4294
Ga 0.7792 0.5987 0.3486
Ga 0.9190 0.3192 0.0706

Calculated values
Symmetry: C2/c
Energy of formation from the pure elements (eV/atom): 0.08
Total moment (Bohr magnetons per cell): 0.000


(2)
Material: Sm2Tm5Th
Method: DFT, PBE
State: relaxed

Unit cell a=7.0547 b=14.1469 c=5.0170 alpha=90.00 beta=90.00 gamma=90.00
Fractional positions:
Sm 0.2503 0.1239 0.0000
Sm 0.2497 0.6239 0.0000
Sm 0.7503 0.3761 0.0000
Sm 0.7497 0.8761 0.0000
Tm 0.0000 0.0000 0.5000
Tm 0.0064 0.7490 0.5000
Tm 0.2410 0.3770 0.0000
Tm 0.2590 0.8770 0.0000
Tm 0.4936 0.2490 0.5000
Tm 0.5000 0.5000 0.5000
Tm 0.5064 0.7510 0.5000
Tm 0.7410 0.1230 0.0000
Tm 0.7590 0.6230 0.0000
Tm 0.9936 0.2510 0.5000
Th 0.0000 0.5000 0.5000
Th 0.5000 0.0000 0.5000

Calculated values
Symmetry: Pbam
Energy of formation from the pure elements (eV/atom): 0.03
E above lowest polymorph (eV per atom): 0.0073
Total moment (Bohr magnetons per cell): 0.000


(3)
Material: CaSnSb
Method: DFT, PBE
State: relaxed

Unit cell a=5.1048 b=5.1048 c=4.1234 alpha=90.00 beta=90.00 gamma=120.00
Fractional positions:
Ca 0.0000 0.0000 0.0000
Sn 0.3333 0.6667 0.5048
Sb 0.6667 0.3333 0.4954

Calculated values
Symmetry: P3m1
Formation energy from raw total energies (eV per atom): -0.3835
Total moment (Bohr magnetons per cell): 0.000


(4)
Material: PmSm4Hg3
Method: DFT, PBE
State: relaxed

Unit cell a=9.8298 b=9.8298 c=9.8298 alpha=31.65 beta=31.65 gamma=31.65
Fractional positions:
Pm 0.0000 0.0000 0.0000
Sm 0.1306 0.1306 0.1306
Sm 0.3893 0.3893 0.3893
Sm 0.6107 0.6107 0.6107
Sm 0.8694 0.8694 0.8694
Hg 0.2660 0.2660 0.2660
Hg 0.5000 0.5000 0.5000
Hg 0.7340 0.7340 0.7340

Calculated values
Symmetry: R-3m
Energy of formation from the pure elements (eV/atom): -0.29
Total moment (Bohr magnetons per cell): 0.473


(5)
Material: BePPb
Method: DFT, PBE
State: relaxed

Unit cell a=3.2284 b=3.2284 c=11.4440 alpha=90.00 beta=90.00 gamma=90.00
Fractional positions:
Be 0.0000 0.0000 0.0000
Be 0.5000 0.5000 0.5000
P 0.0000 0.0000 0.4973
P 0.5000 0.5000 0.9973
Pb 0.0000 0.0000 0.2561
Pb 0.5000 0.5000 0.7561

Calculated values
Symmetry: I4mm
Energy of formation from the pure elements (eV/atom): 0.27
E above lowest polymorph (eV per atom): 0.3365
Total moment (Bohr magnetons per cell): 0.000


(6)
Material: AgOsCl2
Method: DFT, PBE
State: relaxed

Unit cell a=3.0306 b=3.0306 c=8.0512 alpha=90.00 beta=90.00 gamma=90.00
Fractional positions:
Ag 0.0000 0.0000 0.0000
Os 0.5000 0.5000 0.7481
Cl 0.0000 0.0000 0.5898
Cl 0.5000 0.5000 0.2207

Calculated values
Symmetry: P4mm
Formation energy from raw total energies (eV per atom): 0.6150
E above lowest polymorph (eV per atom): 0.3653
Total moment (Bohr magnetons per cell): 0.152